The following is a DFT calculation (GGA-PBE) of an optimized crystal structure of Pm2IrOs.

- V: 21.6 A^3/atom
- Magnetization: 0.0 Bohr magnetons per cell
- Energy above the lowest structure with this stoichiometry: 0 meV/atom
- Calculated total energy: -30.47 eV/cell
- Energy of formation: -0.220 eV/atom
- N(E_F): 1.02 states/eV per cell

Structure (extended XYZ):
```
4
Lattice="3.514 0.000 0.000 0.000 3.514 0.000 0.000 0.000 6.987" Properties=species:S:1:pos:R:3 pbc="T T T"
Pm 0.000 0.000 1.725
Pm 0.000 0.000 5.262
Ir 1.757 1.757 3.494
Os 1.757 1.757 0.000
```

The following is a DFT calculation (GGA-PBE) of an optimized crystal structure of PmScIrOs.

- V: 19.1 A^3/atom
- Magnetization: 0.0 Bohr magnetons per cell
- Calculated total energy: -130.54 eV/cell
- Energy of formation: -0.365 eV/atom
- N(E_F): 12.42 states/eV per cell

Structure (extended XYZ):
```
16
Lattice="6.739 0.000 0.000 0.000 6.739 0.000 0.000 0.000 6.739" Properties=species:S:1:pos:R:3 pbc="T T T"
Pm 0.000 0.000 0.000
Pm 0.000 3.369 3.369
Pm 3.369 0.000 3.369
Pm 3.369 3.369 0.000
Sc 0.000 0.000 3.369
Sc 0.000 3.369 0.000
Sc 3.369 0.000 0.000
Sc 3.369 3.369 3.369
Ir 1.685 1.685 5.054
Ir 1.685 5.054 1.685
Ir 5.054 1.685 1.685
Ir 5.054 5.054 5.054
Os 1.685 1.685 1.685
Os 1.685 5.054 5.054
Os 5.054 1.685 5.054
Os 5.054 5.054 1.685
```

The following is a DFT calculation (GGA-PBE) of an optimized crystal structure of Pm2Si4Ir3Os.

- Formation energy (no corrections): -0.958 eV per atom
- V: 17.3 A^3/atom
- Magnetization: 0.0 Bohr magnetons per cell
- Calculated total energy: -78.59 eV/cell
- N(E_F): 5.00 states/eV per cell

Structure (extended XYZ):
```
10
Lattice="4.214 0.000 0.000 0.000 4.214 0.000 0.000 0.000 9.746" Properties=species:S:1:pos:R:3 pbc="T T T"
Pm 0.000 2.107 2.408
Pm 2.107 0.000 7.338
Si 0.000 0.000 0.000
Si 0.000 2.107 6.093
Si 2.107 0.000 3.653
Si 2.107 2.107 0.000
Ir 0.000 2.107 8.521
Ir 2.107 0.000 1.225
Ir 2.107 2.107 4.873
Os 0.000 0.000 4.873
```

The following is a DFT calculation (GGA-PBE) of an optimized crystal structure of PmSi3IrOs.

- Formation energy (no corrections): -0.474 eV per atom
- V: 19.9 A^3/atom
- Magnetization: 0.0 Bohr magnetons per cell
- Calculated total energy: -87.90 eV/cell
- N(E_F): 4.30 states/eV per cell

Structure (extended XYZ):
```
12
Lattice="3.140 -6.793 0.000 3.140 6.793 0.000 0.000 0.000 5.609" Properties=species:S:1:pos:R:3 pbc="T T T"
Pm 3.140 4.240 4.207
Pm 3.140 -4.240 1.402
Si 3.140 3.663 1.402
Si 1.796 0.000 0.000
Si 1.796 0.000 2.805
Si 4.484 0.000 0.000
Si 4.484 0.000 2.805
Si 3.140 -3.663 4.207
Ir 3.140 1.420 1.402
Ir 3.140 -1.420 4.207
Os 3.140 5.903 1.402
Os 3.140 -5.903 4.207
```

The following is a DFT calculation (GGA-PBE) of an optimized crystal structure of TbPmIrOs.

- V: 20.9 A^3/atom
- Magnetization: 0.0 Bohr magnetons per cell
- Calculated total energy: -122.57 eV/cell
- Energy of formation: -0.293 eV/atom
- N(E_F): 10.61 states/eV per cell

Structure (extended XYZ):
```
16
Lattice="6.941 0.000 0.000 0.000 6.941 0.000 0.000 0.000 6.941" Properties=species:S:1:pos:R:3 pbc="T T T"
Tb 0.000 0.000 0.000
Tb 0.000 3.471 3.471
Tb 3.471 0.000 3.471
Tb 3.471 3.471 0.000
Pm 0.000 0.000 3.471
Pm 0.000 3.471 0.000
Pm 3.471 0.000 0.000
Pm 3.471 3.471 3.471
Ir 1.735 1.735 5.206
Ir 1.735 5.206 1.735
Ir 5.206 1.735 1.735
Ir 5.206 5.206 5.206
Os 1.735 1.735 1.735
Os 1.735 5.206 5.206
Os 5.206 1.735 5.206
Os 5.206 5.206 1.735
```

The following is a DFT calculation (GGA-PBE) of an optimized crystal structure of PmThIrOs.

- V: 22.3 A^3/atom
- Magnetization: 0.0 Bohr magnetons per cell
- Calculated total energy: -134.83 eV/cell
- Energy of formation: -0.361 eV/atom
- N(E_F): 8.88 states/eV per cell

Structure (extended XYZ):
```
16
Lattice="7.089 0.000 0.000 0.000 7.089 0.000 0.000 0.000 7.089" Properties=species:S:1:pos:R:3 pbc="T T T"
Pm 0.000 0.000 0.000
Pm 0.000 3.544 3.544
Pm 3.544 0.000 3.544
Pm 3.544 3.544 0.000
Th 0.000 0.000 3.544
Th 0.000 3.544 0.000
Th 3.544 0.000 0.000
Th 3.544 3.544 3.544
Ir 1.772 1.772 1.772
Ir 1.772 5.317 5.317
Ir 5.317 1.772 5.317
Ir 5.317 5.317 1.772
Os 1.772 1.772 5.317
Os 1.772 5.317 1.772
Os 5.317 1.772 1.772
Os 5.317 5.317 5.317
```

The following is a DFT calculation (GGA-PBE) of an optimized crystal structure of PmUIrOs.

- V: 20.6 A^3/atom
- Magnetization: 6.9 Bohr magnetons per cell
- Calculated total energy: -146.88 eV/cell
- Energy of formation: -0.147 eV/atom
- N(E_F): 29.87 states/eV per cell

Structure (extended XYZ):
```
16
Lattice="6.912 0.000 0.000 0.000 6.912 0.000 0.000 0.000 6.912" Properties=species:S:1:pos:R:3 pbc="T T T"
Pm 0.000 0.000 0.000
Pm 0.000 3.456 3.456
Pm 3.456 0.000 3.456
Pm 3.456 3.456 0.000
U 0.000 0.000 3.456
U 0.000 3.456 0.000
U 3.456 0.000 0.000
U 3.456 3.456 3.456
Ir 1.728 1.728 5.184
Ir 1.728 5.184 1.728
Ir 5.184 1.728 1.728
Ir 5.184 5.184 5.184
Os 1.728 1.728 1.728
Os 1.728 5.184 5.184
Os 5.184 1.728 5.184
Os 5.184 5.184 1.728
```

The following is a DFT calculation (GGA-PBE) of an optimized crystal structure of PmYIrOs.

- V: 20.8 A^3/atom
- Magnetization: 0.0 Bohr magnetons per cell
- Calculated total energy: -129.92 eV/cell
- Energy of formation: -0.294 eV/atom
- N(E_F): 10.79 states/eV per cell

Structure (extended XYZ):
```
16
Lattice="6.934 0.000 0.000 0.000 6.934 0.000 0.000 0.000 6.934" Properties=species:S:1:pos:R:3 pbc="T T T"
Pm 0.000 0.000 0.000
Pm 0.000 3.467 3.467
Pm 3.467 0.000 3.467
Pm 3.467 3.467 0.000
Y 0.000 0.000 3.467
Y 0.000 3.467 0.000
Y 3.467 0.000 0.000
Y 3.467 3.467 3.467
Ir 1.733 1.733 1.733
Ir 1.733 5.200 5.200
Ir 5.200 1.733 5.200
Ir 5.200 5.200 1.733
Os 1.733 1.733 5.200
Os 1.733 5.200 1.733
Os 5.200 1.733 1.733
Os 5.200 5.200 5.200
```

The following is a DFT calculation (GGA-PBE) of an optimized crystal structure of PrIrOs.

- V: 20.1 A^3/atom
- Magnetization: 0.0 Bohr magnetons per cell
- Calculated total energy: -99.05 eV/cell
- Energy of formation: 0.036 eV/atom
- N(E_F): 8.50 states/eV per cell

Structure (extended XYZ):
```
12
Lattice="8.661 0.000 0.000 0.000 5.706 0.000 -1.418 0.000 4.881" Properties=species:S:1:pos:R:3 pbc="T T T"
Pr 0.634 0.000 1.834
Pr 2.278 2.853 3.047
Pr 4.965 2.853 1.834
Pr 6.609 0.000 3.047
Ir 2.165 1.426 0.000
Ir 2.165 4.279 0.000
Ir 6.496 1.426 0.000
Ir 6.496 4.279 0.000
Os -0.334 2.853 1.287
Os 3.247 0.000 3.594
Os 3.996 0.000 1.287
Os 7.577 2.853 3.594
```

The following is a DFT calculation (GGA-PBE) of an optimized crystal structure of Ir2OsPt.

- V: 15.2 A^3/atom
- Magnetization: 4.4 Bohr magnetons per cell
- Energy above the lowest structure with this stoichiometry: 622 meV/atom
- Calculated total energy: -130.19 eV/cell
- Energy of formation: 0.611 eV/atom
- N(E_F): 31.90 states/eV per cell

Structure (extended XYZ):
```
16
Lattice="6.243 0.000 0.000 0.000 6.243 0.000 0.000 0.000 6.243" Properties=species:S:1:pos:R:3 pbc="T T T"
Ir 0.000 0.000 0.000
Ir 0.000 3.122 3.122
Ir 1.561 1.561 1.561
Ir 1.561 4.683 4.683
Ir 3.122 0.000 3.122
Ir 3.122 3.122 0.000
Ir 4.683 1.561 4.683
Ir 4.683 4.683 1.561
Os 1.561 1.561 4.683
Os 1.561 4.683 1.561
Os 4.683 1.561 1.561
Os 4.683 4.683 4.683
Pt 0.000 0.000 3.122
Pt 0.000 3.122 0.000
Pt 3.122 0.000 0.000
Pt 3.122 3.122 3.122
```

The following is a DFT calculation (GGA-PBE) of an optimized crystal structure of Ir2OsPt.

- V: 14.7 A^3/atom
- Magnetization: 0.0 Bohr magnetons per cell
- Energy above the lowest structure with this stoichiometry: 97 meV/atom
- Calculated total energy: -69.29 eV/cell
- Energy of formation: 0.086 eV/atom
- N(E_F): 9.13 states/eV per cell

Structure (extended XYZ):
```
8
Lattice="9.119 0.000 0.000 0.000 2.751 0.000 -0.817 0.000 4.696" Properties=species:S:1:pos:R:3 pbc="T T T"
Ir 0.000 0.000 0.000
Ir 2.062 1.376 1.185
Ir 4.560 1.376 0.000
Ir 6.622 0.000 1.185
Os 1.702 0.000 3.598
Os 6.262 1.376 3.598
Pt -0.389 1.376 2.382
Pt 4.170 0.000 2.382
```

The following is a DFT calculation (GGA-PBE) of an optimized crystal structure of IrOsPt2.

- V: 15.0 A^3/atom
- Magnetization: 0.0 Bohr magnetons per cell
- Energy above the lowest structure with this stoichiometry: 180 meV/atom
- Calculated total energy: -31.51 eV/cell
- Energy of formation: 0.165 eV/atom
- N(E_F): 5.00 states/eV per cell

Structure (extended XYZ):
```
4
Lattice="2.780 0.000 0.000 0.000 3.907 0.000 0.000 0.000 5.525" Properties=species:S:1:pos:R:3 pbc="T T T"
Ir 0.000 0.000 0.000
Os 0.000 0.000 2.763
Pt 1.390 1.954 1.406
Pt 1.390 1.954 4.119
```

Question: Which value of N(E_F) does entry 4 give?
Answer: 4.30 states/eV per cell

Question: Among the records above, which one has the highest magnetization?
Answer: PmUIrOs

Question: Which of these has the highest V?
Answer: PmThIrOs